Record 1
# BaV2Cl (PBE-GGA, optimized geometry)
# energy relative to the elements, uncorrected: 5.3 eV/f.u.
# D(E_F): 1.433 states/eV/atom
# ΔE to the lowest computed polymorph: 3.24 eV/f.u.
# E_tot: -4.18 eV/atom
data_BaV2Cl
_chemical_formula_sum 'Ba4 V8 Cl4'
_cell_length_a 6.6885
_cell_length_b 6.6885
_cell_length_c 6.6885
_cell_angle_alpha 90.00
_cell_angle_beta 90.00
_cell_angle_gamma 90.00
_symmetry_space_group_name_H-M 'F m -3 m'
_symmetry_Int_Tables_number 225
_symmetry_space_group_name_Hall '-F 4 2 3'
loop_
_atom_site_label
_atom_site_type_symbol
_atom_site_fract_x
_atom_site_fract_y
_atom_site_fract_z
Ba1 Ba 0.0000 0.0000 0.0000
V1 V 0.2500 0.2500 0.2500
Cl1 Cl 0.0000 0.0000 0.5000

---

Record 2
# Li2AgPb (PBE-GGA, optimized geometry)
# D(E_F): 0.338 states/eV/atom
# ΔE_f: -0.13 eV/atom
# E_tot: -2.72 eV/atom
data_Li2AgPb
_chemical_formula_sum 'Li6 Ag3 Pb3'
_cell_length_a 3.2622
_cell_length_b 3.2622
_cell_length_c 26.8134
_cell_angle_alpha 90.00
_cell_angle_beta 90.00
_cell_angle_gamma 120.00
_symmetry_space_group_name_H-M 'R -3 m'
_symmetry_Int_Tables_number 166
_symmetry_space_group_name_Hall '-R 3 2"'
loop_
_atom_site_label
_atom_site_type_symbol
_atom_site_fract_x
_atom_site_fract_y
_atom_site_fract_z
Li1 Li 0.0000 0.0000 0.2429
Ag1 Ag 0.0000 0.0000 0.5000
Pb1 Pb 0.0000 0.0000 0.0000

---

Record 3
# TeMo3Se7I6 (PBE-GGA, optimized geometry)
# energy relative to the elements, uncorrected: -6.6 eV/f.u.
# E_tot: -4.47 eV/atom
data_TeMo3Se7I6
_chemical_formula_sum 'Te4 Mo12 Se28 I24'
_cell_length_a 12.0593
_cell_length_b 13.3589
_cell_length_c 18.2078
_cell_angle_alpha 90.00
_cell_angle_beta 117.74
_cell_angle_gamma 90.00
_symmetry_space_group_name_H-M 'P 1 21/c 1'
_symmetry_Int_Tables_number 14
loop_
_symmetry_equiv_pos_as_xyz
'x,y,z'
'-x,-y,-z'
'-x,y+1/2,-z+1/2'
'x,-y+1/2,z+1/2'
loop_
_atom_site_label
_atom_site_type_symbol
_atom_site_fract_x
_atom_site_fract_y
_atom_site_fract_z
Te1 Te 0.0198 0.2436 0.3339
Mo1 Mo 0.2355 0.7364 0.2824
Mo2 Mo 0.4245 0.6502 0.7774
Mo3 Mo 0.4354 0.6409 0.2758
Se1 Se 0.2183 0.5681 0.7658
Se2 Se 0.2366 0.5429 0.2612
Se3 Se 0.2751 0.7431 0.1593
Se4 Se 0.3641 0.6362 0.8957
Se5 Se 0.3762 0.6106 0.3929
Se6 Se 0.3917 0.2488 0.1140
Se7 Se 0.4053 0.2457 0.7483
I1 I 0.0423 0.1035 0.9491
I2 I 0.0601 0.0764 0.4365
I3 I 0.0628 0.7220 0.3517
I4 I 0.3890 0.5209 0.6428
I5 I 0.4167 0.5208 0.1400
I6 I 0.4330 0.2386 0.9552

---

Record 4
# Nd3Y3Tl2 (PBE-GGA, optimized geometry)
# D(E_F): 1.317 states/eV/atom
# ΔE to the lowest computed polymorph: 0.56 eV/f.u.
# ΔE_f: -0.13 eV/atom
# E_tot: -4.93 eV/atom
data_Nd3Y3Tl2
_chemical_formula_sum 'Nd12 Y12 Tl8'
_cell_length_a 5.2130
_cell_length_b 12.1461
_cell_length_c 16.2856
_cell_angle_alpha 90.00
_cell_angle_beta 90.00
_cell_angle_gamma 90.00
_symmetry_space_group_name_H-M 'C m c m'
_symmetry_Int_Tables_number 63
_symmetry_space_group_name_Hall '-C 2c 2'
loop_
_atom_site_label
_atom_site_type_symbol
_atom_site_fract_x
_atom_site_fract_y
_atom_site_fract_z
Nd1 Nd 0.0000 0.0425 0.1051
Nd2 Nd 0.0000 0.2766 0.2500
Y1 Y 0.0000 0.3637 0.0369
Y2 Y 0.0000 0.4419 0.7500
Tl1 Tl 0.0000 0.2322 0.6295

---

Record 5
# Pr4Cd3Ni (PBE-GGA, optimized geometry)
# D(E_F): 1.004 states/eV/atom
# ΔE_f: -0.28 eV/atom
# E_tot: -3.73 eV/atom
data_Pr4Cd3Ni
_chemical_formula_sum 'Pr4 Cd3 Ni1'
_cell_length_a 3.7362
_cell_length_b 3.7362
_cell_length_c 15.7152
_cell_angle_alpha 90.00
_cell_angle_beta 90.00
_cell_angle_gamma 90.00
_symmetry_space_group_name_H-M 'P 4/m m m'
_symmetry_Int_Tables_number 123
_symmetry_space_group_name_Hall '-P 4 2'
loop_
_atom_site_label
_atom_site_type_symbol
_atom_site_fract_x
_atom_site_fract_y
_atom_site_fract_z
Pr1 Pr 0.0000 0.0000 0.1048
Pr2 Pr 0.0000 0.0000 0.3693
Cd1 Cd 0.5000 0.5000 0.2401
Cd2 Cd 0.5000 0.5000 0.5000
Ni1 Ni 0.5000 0.5000 0.0000

---

Record 6
# Pm2Si4Ir3Pt (PBE-GGA, optimized geometry)
# energy relative to the elements, uncorrected: -10.4 eV/f.u.
# D(E_F): 0.509 states/eV/atom
# E_tot: -7.43 eV/atom
data_Pm2Si4Ir3Pt
_chemical_formula_sum 'Pm2 Si4 Ir3 Pt1'
_cell_length_a 4.1641
_cell_length_b 4.1641
_cell_length_c 10.0325
_cell_angle_alpha 90.00
_cell_angle_beta 90.00
_cell_angle_gamma 90.00
_symmetry_space_group_name_H-M 'P -4 m 2'
_symmetry_Int_Tables_number 115
loop_
_symmetry_equiv_pos_as_xyz
'x,y,z'
'y,-x,-z'
'-x,-y,z'
'-y,x,-z'
'-x,y,z'
'-y,-x,-z'
'x,-y,z'
'y,x,-z'
loop_
_atom_site_label
_atom_site_type_symbol
_atom_site_fract_x
_atom_site_fract_y
_atom_site_fract_z
Pm1 Pm 0.0000 0.5000 0.2406
Si1 Si 0.0000 0.0000 0.0000
Si2 Si 0.0000 0.5000 0.6367
Si3 Si 0.5000 0.5000 0.0000
Ir1 Ir 0.0000 0.5000 0.8744
Ir2 Ir 0.5000 0.5000 0.5000
Pt1 Pt 0.0000 0.0000 0.5000

---

Record 7
# Tb6Sm3Y2 (PBE-GGA, optimized geometry)
# D(E_F): 1.601 states/eV/atom
# ΔE to the lowest computed polymorph: 2.90 eV/f.u.
# ΔE_f: 0.28 eV/atom
# E_tot: -4.71 eV/atom
data_Tb6Sm3Y2
_chemical_formula_sum 'Tb12 Sm6 Y4'
_cell_length_a 4.7534
_cell_length_b 4.7534
_cell_length_c 33.5187
_cell_angle_alpha 90.00
_cell_angle_beta 90.00
_cell_angle_gamma 90.00
_symmetry_space_group_name_H-M 'I 4/m m m'
_symmetry_Int_Tables_number 139
_symmetry_space_group_name_Hall '-I 4 2'
loop_
_atom_site_label
_atom_site_type_symbol
_atom_site_fract_x
_atom_site_fract_y
_atom_site_fract_z
Tb1 Tb 0.0000 0.0000 0.1964
Tb2 Tb 0.0000 0.5000 0.1216
Sm1 Sm 0.0000 0.0000 0.2989
Sm2 Sm 0.0000 0.0000 0.5000
Y1 Y 0.0000 0.0000 0.0461

---

Record 8
# NaCa2SiRh (PBE-GGA, optimized geometry)
# energy relative to the elements, uncorrected: -1.5 eV/f.u.
# D(E_F): 0.603 states/eV/atom
# E_tot: -3.91 eV/atom
data_NaCa2SiRh
_chemical_formula_sum 'Na1 Ca2 Si1 Rh1'
_cell_length_a 5.5467
_cell_length_b 5.5467
_cell_length_c 4.6292
_cell_angle_alpha 90.00
_cell_angle_beta 90.00
_cell_angle_gamma 90.00
_symmetry_space_group_name_H-M 'P 4/m m m'
_symmetry_Int_Tables_number 123
_symmetry_space_group_name_Hall '-P 4 2'
loop_
_atom_site_label
_atom_site_type_symbol
_atom_site_fract_x
_atom_site_fract_y
_atom_site_fract_z
Na1 Na 0.0000 0.0000 0.0000
Ca1 Ca 0.0000 0.5000 0.5000
Si1 Si 0.5000 0.5000 0.0000
Rh1 Rh 0.5000 0.5000 0.5000

---

Record 9
# Na2BeGa2 (PBE-GGA, optimized geometry)
# D(E_F): 0.381 states/eV/atom
# ΔE to the lowest computed polymorph: 2.20 eV/f.u.
# ΔE_f: 0.59 eV/atom
# E_tot: -1.89 eV/atom
data_Na2BeGa2
_chemical_formula_sum 'Na4 Be2 Ga4'
_cell_length_a 7.5727
_cell_length_b 7.5727
_cell_length_c 3.8351
_cell_angle_alpha 90.00
_cell_angle_beta 90.00
_cell_angle_gamma 90.00
_symmetry_space_group_name_H-M 'P 4/m b m'
_symmetry_Int_Tables_number 127
_symmetry_space_group_name_Hall '-P 4 2ab'
loop_
_atom_site_label
_atom_site_type_symbol
_atom_site_fract_x
_atom_site_fract_y
_atom_site_fract_z
Na1 Na 0.1423 0.3577 0.0000
Be1 Be 0.0000 0.0000 0.0000
Ga1 Ga 0.1610 0.6610 0.5000

---

Record 10
# Pm3AlIn (PBE-GGA, optimized geometry)
# D(E_F): 0.668 states/eV/atom
# ΔE_f: -0.31 eV/atom
# E_tot: -4.45 eV/atom
data_Pm3AlIn
_chemical_formula_sum 'Pm12 Al4 In4'
_cell_length_a 5.0199
_cell_length_b 22.7663
_cell_length_c 5.0196
_cell_angle_alpha 90.00
_cell_angle_beta 90.00
_cell_angle_gamma 90.00
_symmetry_space_group_name_H-M 'C m c m'
_symmetry_Int_Tables_number 63
_symmetry_space_group_name_Hall '-C 2c 2'
loop_
_atom_site_label
_atom_site_type_symbol
_atom_site_fract_x
_atom_site_fract_y
_atom_site_fract_z
Pm1 Pm 0.0000 0.0626 0.2500
Pm2 Pm 0.0000 0.2500 0.2500
Pm3 Pm 0.0000 0.4374 0.2500
Al1 Al 0.0000 0.1554 0.7500
In1 In 0.0000 0.3443 0.7500

---

Record 11
# Ta2CdPt (PBE-GGA, optimized geometry)
# D(E_F): 0.606 states/eV/atom
# ΔE_f: -0.20 eV/atom
# E_tot: -7.87 eV/atom
data_Ta2CdPt
_chemical_formula_sum 'Ta2 Cd1 Pt1'
_cell_length_a 2.8818
_cell_length_b 2.8818
_cell_length_c 8.6650
_cell_angle_alpha 90.00
_cell_angle_beta 90.00
_cell_angle_gamma 90.00
_symmetry_space_group_name_H-M 'P 4 m m'
_symmetry_Int_Tables_number 99
loop_
_symmetry_equiv_pos_as_xyz
'x,y,z'
'-y,x,z'
'-x,-y,z'
'y,-x,z'
'-x,y,z'
'y,x,z'
'x,-y,z'
'-y,-x,z'
loop_
_atom_site_label
_atom_site_type_symbol
_atom_site_fract_x
_atom_site_fract_y
_atom_site_fract_z
Ta1 Ta 0.0000 0.0000 0.0000
Ta2 Ta 0.5000 0.5000 0.2584
Cd1 Cd 0.0000 0.0000 0.5313
Pt1 Pt 0.5000 0.5000 0.7797

---

Record 12
# CaPrTc (PBE-GGA, optimized geometry)
# D(E_F): 1.048 states/eV/atom
# ΔE_f: 0.12 eV/atom
# E_tot: -5.60 eV/atom
data_CaPrTc
_chemical_formula_sum 'Ca4 Pr4 Tc4'
_cell_length_a 16.2389
_cell_length_b 3.8186
_cell_length_c 6.1219
_cell_angle_alpha 90.00
_cell_angle_beta 103.85
_cell_angle_gamma 90.00
_symmetry_space_group_name_H-M 'C 1 2/m 1'
_symmetry_Int_Tables_number 12
loop_
_symmetry_equiv_pos_as_xyz
'x,y,z'
'-x,-y,-z'
'-x,y,-z'
'x,-y,z'
'x+1/2,y+1/2,z'
'-x+1/2,-y+1/2,-z'
'-x+1/2,y+1/2,-z'
'x+1/2,-y+1/2,z'
loop_
_atom_site_label
_atom_site_type_symbol
_atom_site_fract_x
_atom_site_fract_y
_atom_site_fract_z
Ca1 Ca 0.0771 0.0000 0.3002
Pr1 Pr 0.1555 0.5000 0.8411
Tc1 Tc 0.2400 0.5000 0.3811

---

| no. | calculated density (g cm⁻³) |
| --- | --- |
| 1 | 6.1 |
| 2 | 6.6 |
| 3 | 4.4 |
| 4 | 7.1 |
| 5 | 7.3 |
| 6 | 11.2 |
| 7 | 6.9 |
| 8 | 2.7 |
| 9 | 2.9 |
| 10 | 6.7 |
| 11 | 15.4 |
| 12 | 5.0 |